Dy3In2SiRu3: optimized geometry, PBE-GGA.

a b c (Å): 3.537 7.682 7.682
angles (deg): 120.00 90.00 90.00
Element x y z (fractional)
1 Dy 0.000 0.635 0.635
2 Ru 0.500 0.771 0.000
3 Si 0.000 0.000 0.000
4 In 0.500 0.667 0.333
5 Dy 0.000 0.365 0.000
6 Dy 0.000 0.000 0.365
7 Ru 0.500 0.000 0.771
8 Ru 0.500 0.229 0.229
9 In 0.500 0.333 0.667

Calculated values
Magnetic moment (μB per cell): 0.0
SG: P-62m (189)
DOS(E_F) (states/eV/cell): 4.85
ΔE_f (raw) (eV/atom): -0.47
E (eV/atom): -6.31
ρ (kg/m3): 9632

---

SmDyInRu: optimized geometry, PBE-GGA.

a b c (Å): 5.115 5.115 5.115
angles (deg): 60.00 60.00 60.00
Element x y z (fractional)
1 Dy 0.750 0.750 0.750
2 Ru 0.000 0.000 0.000
3 Sm 0.250 0.250 0.250
4 In 0.500 0.500 0.500

Calculated values
Magnetic moment (μB per cell): 0.0
Formation enthalpy at 0 K (eV/atom): -0.291
SG: F-43m (216)
DOS(E_F) (states/eV/cell): 2.51
E (eV/atom): -5.63
ρ (kg/m3): 9280

---

DyThInRu: optimized geometry, PBE-GGA.

a b c (Å): 5.173 5.173 5.173
angles (deg): 60.00 60.00 60.00
Element x y z (fractional)
1 Ru 0.750 0.750 0.750
2 Th 0.000 0.000 0.000
3 In 0.250 0.250 0.250
4 Dy 0.500 0.500 0.500

Calculated values
Magnetic moment (μB per cell): 0.0
Formation enthalpy at 0 K (eV/atom): -0.223
SG: F-43m (216)
DOS(E_F) (states/eV/cell): 3.68
E (eV/atom): -6.23
ρ (kg/m3): 10355